Record 1
Material: Cd2IrPt
Method: DFT, PBE
State: optimized geometry

Cell: 5.9118 7.9817 2.9288 Å, 90.00 90.00 90.00°
With the nearest neighbours (Å) after each atom.
Space group Cmmm (No. 65)
Unique sites:
Cd: 0.2500 0.2500 0.0000 x4  4 Ir 2.88, 4 Pt 2.88, 4 Cd 2.93-2.96
Ir: 0.0000 0.0000 0.5000 x2  8 Cd 2.88, 2 Ir 2.93, 2 Pt 2.96
Pt: 0.0000 0.5000 0.5000 x2  8 Cd 2.88, 2 Pt 2.93, 2 Ir 2.96

Summary:
DFT formation energy   -0.0054 eV/atom
Electronic total energy   -0.1539 Ha/atom


Record 2
Material: Cd2IrPt
Method: DFT, PBE
State: optimized geometry

Cell: 2.9073 4.5595 5.5458 Å, 90.00 104.67 90.00°
With the nearest neighbours (Å) after each atom.
Space group Pm (No. 6)
Unique sites:
Cd: 0.0000 0.0000 0.0000 x1  3 Pt 2.85-2.90, 4 Ir 2.90, 2 Cd 2.91
Cd: 0.3268 0.5000 0.6677 x1  3 Ir 2.83-2.92, 4 Pt 2.90-2.91, 2 Cd 2.91
Ir: 0.5965 0.5000 0.1955 x1  2 Pt 2.71, 7 Cd 2.83-2.92, 2 Ir 2.91
Pt: 0.7274 0.0000 0.4680 x1  2 Ir 2.71, 7 Cd 2.85-2.91, 2 Pt 2.91

Summary:
DFT formation energy   0.0649 eV/atom
Electronic total energy   -0.1513 Ha/atom


Record 3
Material: CdIr2Pt
Method: DFT, PBE
State: optimized geometry

Cell: 3.3056 3.3056 5.9716 Å, 90.00 90.00 90.00°
With the nearest neighbours (Å) after each atom.
Space group P4/mmm (No. 123)
Unique sites:
Cd: 0.0000 0.0000 0.0000 x1  8 Ir 2.85, 2 Pt 2.99
Ir: 0.5000 0.5000 0.2717 x2  4 Pt 2.71, 1 Ir 2.73, 4 Cd 2.85
Pt: 0.0000 0.0000 0.5000 x1  8 Ir 2.71, 2 Cd 2.99

Summary:
DFT formation energy   0.3323 eV/atom
Electronic total energy   -0.2145 Ha/atom


Record 4
Material: CdIr2Pt
Method: DFT, PBE
State: optimized geometry

Cell: 2.7674 4.7850 9.8610 Å, 90.00 90.00 90.00°
With the nearest neighbours (Å) after each atom.
Space group Immm (No. 71)
Unique sites:
Cd: 0.0000 0.0000 0.0000 x2  4 Pt 2.76, 2 Cd 2.77, 4 Ir 2.96
Ir: 0.0000 0.5000 0.2346 x4  2 Pt 2.70, 6 Ir 2.77-2.78, 2 Cd 2.96
Pt: 0.0000 0.0000 0.5000 x2  4 Ir 2.70, 4 Cd 2.76, 2 Pt 2.77

Summary:
DFT formation energy   0.1749 eV/atom
Electronic total energy   -0.2203 Ha/atom


Record 5
Material: Cd2IrPt
Method: DFT, PBE
State: optimized geometry

Cell: 2.9056 4.9865 5.4858 Å, 113.02 105.33 90.12°
With the nearest neighbours (Å) after each atom.
Space group P1 (No. 1)
Unique sites:
Cd: 0.0000 0.0000 0.0000 x1  4 Pt 2.85-2.96, 3 Ir 2.87-2.90, 5 Cd 2.91-3.17
Cd: 0.2187 0.5963 0.4426 x1  4 Ir 2.83-2.97, 3 Pt 2.87-2.91, 4 Cd 2.91-3.17
Ir: 0.7484 0.1047 0.4998 x1  2 Pt 2.72-2.73, 7 Cd 2.83-2.97, 2 Ir 2.91
Pt: 0.4657 0.4836 0.9334 x1  2 Ir 2.72-2.73, 7 Cd 2.85-2.96, 2 Pt 2.91

Summary:
DFT formation energy   -0.0116 eV/atom
Electronic total energy   -0.1541 Ha/atom


Record 6
Material: CdIr2Pt
Method: DFT, PBE
State: optimized geometry

Cell: 2.8182 2.8182 8.0919 Å, 90.00 90.00 90.00°
With the nearest neighbours (Å) after each atom.
Space group P4/mmm (No. 123)
Unique sites:
Cd: 0.0000 0.0000 0.0000 x1  4 Cd 2.82, 8 Ir 2.95
Ir: 0.5000 0.5000 0.2681 x2  4 Pt 2.74, 4 Ir 2.82, 4 Cd 2.95
Pt: 0.0000 0.0000 0.5000 x1  8 Ir 2.74, 4 Pt 2.82

Summary:
DFT formation energy   0.1738 eV/atom
Electronic total energy   -0.2203 Ha/atom


Record 7
Material: Cd2IrPt
Method: DFT, PBE
State: optimized geometry

Cell: 9.4236 2.9366 5.0635 Å, 90.00 100.46 90.00°
With the nearest neighbours (Å) after each atom.
Space group C2/m (No. 12)
Unique sites:
Cd: 0.2484 0.0000 0.2476 x4  3 Ir 2.85-2.88, 3 Pt 2.86-2.88, 6 Cd 2.91-2.94
Ir: 0.0000 0.5000 0.0000 x2  6 Cd 2.85-2.88, 4 Pt 2.93, 2 Ir 2.94
Pt: 0.0000 0.0000 0.5000 x2  6 Cd 2.86-2.88, 4 Ir 2.93, 2 Pt 2.94

Summary:
DFT formation energy   0.0474 eV/atom
Electronic total energy   -0.1520 Ha/atom


Record 8
Material: Cd2IrPt
Method: DFT, PBE
State: optimized geometry

Cell: 3.0279 4.8842 9.3819 Å, 90.00 90.00 90.00°
With the nearest neighbours (Å) after each atom.
Space group Cmmm (No. 65)
Unique sites:
Cd: 0.0000 0.0000 0.2481 x4  2 Ir 2.78, 2 Pt 2.81, 6 Cd 2.87-3.03
Ir: 0.0000 0.5000 0.0000 x2  4 Cd 2.78, 6 Ir 2.87-3.03
Pt: 0.0000 0.5000 0.5000 x2  4 Cd 2.81, 6 Pt 2.87-3.03

Summary:
DFT formation energy   0.0757 eV/atom
Electronic total energy   -0.1509 Ha/atom